Computed, not measured: an optimized crystal structure of MgOs2 at the PBE level of DFT.

The calculation puts the calculated formation energy at 0.282 eV per atom.

It has space group Fd-3m (No. 227, origin choice 2), with a = 7.3554 Å, b = 7.3554 Å, c = 7.3554 Å, α = 90.00°, β = 90.00° and γ = 90.00°. The distinct sites, in fractional coordinates, are Mg at (0.1250, 0.1250, 0.1250) and Os at (0.0000, 0.0000, 0.5000).